{"formula": "Rb2CrF7", "functional": "GGA+U", "state": "relaxed", "cell": [[-5.609, -2.059, 2.500], [3.134, -2.191, 5.227], [-1.764, 1.580, 5.732]], "species": ["F", "F", "F", "F", "Rb", "Cr", "F", "F", "F", "Rb"], "fractional_positions": [[0.799, 0.799, 0.000], [0.772, 0.772, 0.455], [0.201, 0.201, 0.000], [0.500, 0.500, 0.000], [0.250, 0.750, 0.500], [0.000, 0.000, 0.000], [0.799, 0.201, 0.000], [0.228, 0.228, 0.545], [0.201, 0.799, 0.000], [0.750, 0.250, 0.500]], "crystal_system": "tetragonal", "e_tot_ev_per_atom": -4.572}